Run w
# Sm7Er3Sc (PBE-GGA, optimized geometry)
data_Sm7Er3Sc
_space_group_name_H-M_alt 'P 1'
_space_group_IT_number 1
_space_group_name_Hall 'P 1'
_cell_length_a 8.456
_cell_length_b 8.456
_cell_length_c 5.762
_cell_angle_alpha 109.91
_cell_angle_beta 109.91
_cell_angle_gamma 83.56
loop_
_atom_site_label
_atom_site_fract_x
_atom_site_fract_y
_atom_site_fract_z
Sm1 0.000 0.000 0.000
Sm2 0.097 0.523 0.310
Sm3 0.286 0.286 0.787
Sm4 0.477 0.903 0.690
Sm5 0.523 0.097 0.310
Sm6 0.714 0.714 0.213
Sm7 0.903 0.477 0.690
Er1 0.297 0.703 0.000
Er2 0.500 0.500 0.500
Er3 0.703 0.297 0.000
Sc1 0.000 0.000 0.500
# Size of the total moment in Bohr magnetons per cell: 0.01
# Calculated density in Mg/m³: 7.292
# Space group: C2/m
# Volume in Å³/atom: 33.11



Run x
# Sm7Er3Sc (PBE-GGA, optimized geometry)
data_Sm7Er3Sc
_space_group_name_H-M_alt 'P 1'
_space_group_IT_number 1
_space_group_name_Hall 'P 1'
_cell_length_a 9.810
_cell_length_b 9.810
_cell_length_c 11.252
_cell_angle_alpha 90.12
_cell_angle_beta 90.12
_cell_angle_gamma 138.26
loop_
_atom_site_label
_atom_site_fract_x
_atom_site_fract_y
_atom_site_fract_z
Sm1 0.089 0.410 0.029
Sm2 0.093 0.414 0.470
Sm3 0.173 0.345 0.749
Sm4 0.237 0.237 0.249
Sm5 0.345 0.173 0.749
Sm6 0.410 0.089 0.029
Sm7 0.414 0.093 0.470
Sm8 0.586 0.907 0.530
Sm9 0.590 0.911 0.971
Sm10 0.655 0.827 0.251
Sm11 0.763 0.763 0.751
Sm12 0.827 0.655 0.251
Sm13 0.907 0.586 0.530
Sm14 0.911 0.590 0.971
Er1 0.000 0.000 0.500
Er2 0.245 0.751 0.250
Er3 0.249 0.755 0.750
Er4 0.500 0.500 0.000
Er5 0.751 0.245 0.250
Er6 0.755 0.249 0.750
Sc1 0.000 0.000 0.000
Sc2 0.500 0.500 0.500
# Size of the total moment in Bohr magnetons per cell: 0.00
# Calculated density in Mg/m³: 7.367
# Space group: C2/m
# Volume in Å³/atom: 32.77



Stability verdict: run x, ahead by 9.6 kJ/mol of atoms



Run w
# SmErSc4 (PBE-GGA, optimized geometry)
data_SmErSc4
_space_group_name_H-M_alt 'P 1'
_space_group_IT_number 1
_space_group_name_Hall 'P 1'
_cell_length_a 6.253
_cell_length_b 6.253
_cell_length_c 6.253
_cell_angle_alpha 129.67
_cell_angle_beta 116.88
_cell_angle_gamma 84.81
loop_
_atom_site_label
_atom_site_fract_x
_atom_site_fract_y
_atom_site_fract_z
Sm1 0.000 0.000 0.000
Er1 0.500 0.000 0.500
Sc1 0.084 0.333 0.750
Sc2 0.417 0.667 0.750
Sc3 0.583 0.333 0.250
Sc4 0.916 0.667 0.250
# Size of the total moment in Bohr magnetons per cell: 0.00
# Calculated density in Mg/m³: 5.139
# Space group: Immm
# Volume in Å³/atom: 26.79



Run x
# SmErSc4 (PBE-GGA, optimized geometry)
data_SmErSc4
_space_group_name_H-M_alt 'P 1'
_space_group_IT_number 1
_space_group_name_Hall 'P 1'
_cell_length_a 6.280
_cell_length_b 6.280
_cell_length_c 6.280
_cell_angle_alpha 60.00
_cell_angle_beta 60.00
_cell_angle_gamma 60.00
loop_
_atom_site_label
_atom_site_fract_x
_atom_site_fract_y
_atom_site_fract_z
Sm1 0.000 0.000 0.000
Er1 0.750 0.750 0.750
Sc1 0.375 0.375 0.375
Sc2 0.375 0.375 0.875
Sc3 0.375 0.875 0.375
Sc4 0.875 0.375 0.375
# Size of the total moment in Bohr magnetons per cell: 6.30
# Calculated density in Mg/m³: 4.716
# Space group: F-43m
# Volume in Å³/atom: 29.19



Stability verdict: run w, ahead by 15.9 kJ/mol of atoms



Run w
# Sm3Er2Sc (PBE-GGA, optimized geometry)
data_Sm3Er2Sc
_space_group_name_H-M_alt 'P 1'
_space_group_IT_number 1
_space_group_name_Hall 'P 1'
_cell_length_a 6.103
_cell_length_b 7.881
_cell_length_c 8.652
_cell_angle_alpha 68.41
_cell_angle_beta 89.81
_cell_angle_gamma 74.97
loop_
_atom_site_label
_atom_site_fract_x
_atom_site_fract_y
_atom_site_fract_z
Sm1 0.041 0.134 0.286
Sm2 0.292 0.874 0.042
Sm3 0.373 0.127 0.626
Sm4 0.627 0.873 0.374
Sm5 0.708 0.126 0.958
Sm6 0.959 0.866 0.714
Er1 0.207 0.621 0.460
Er2 0.453 0.382 0.205
Er3 0.547 0.618 0.795
Er4 0.793 0.379 0.540
Sc1 0.123 0.379 0.876
Sc2 0.877 0.621 0.124
# Size of the total moment in Bohr magnetons per cell: 0.00
# Calculated density in Mg/m³: 7.421
# Space group: P-1
# Volume in Å³/atom: 30.98



Run x
# Sm3Er2Sc (PBE-GGA, optimized geometry)
data_Sm3Er2Sc
_space_group_name_H-M_alt 'P 1'
_space_group_IT_number 1
_space_group_name_Hall 'P 1'
_cell_length_a 8.056
_cell_length_b 8.056
_cell_length_c 6.290
_cell_angle_alpha 90.00
_cell_angle_beta 90.00
_cell_angle_gamma 109.93
loop_
_atom_site_label
_atom_site_fract_x
_atom_site_fract_y
_atom_site_fract_z
Sm1 0.124 0.512 0.810
Sm2 0.162 0.838 0.500
Sm3 0.488 0.876 0.810
Sm4 0.512 0.124 0.310
Sm5 0.838 0.162 0.000
Sm6 0.876 0.488 0.310
Er1 0.251 0.369 0.282
Er2 0.369 0.251 0.782
Er3 0.631 0.749 0.282
Er4 0.749 0.631 0.782
Sc1 0.081 0.919 0.028
Sc2 0.919 0.081 0.528
# Size of the total moment in Bohr magnetons per cell: 0.00
# Calculated density in Mg/m³: 7.188
# Space group: Cmc2_1
# Volume in Å³/atom: 31.98



Stability verdict: run w, ahead by 20.1 kJ/mol of atoms



Run w
# Sm2Er2Sc (PBE-GGA, optimized geometry)
data_Sm2Er2Sc
_space_group_name_H-M_alt 'P 1'
_space_group_IT_number 1
_space_group_name_Hall 'P 1'
_cell_length_a 16.137
_cell_length_b 16.137
_cell_length_c 16.137
_cell_angle_alpha 167.54
_cell_angle_beta 160.01
_cell_angle_gamma 23.63
loop_
_atom_site_label
_atom_site_fract_x
_atom_site_fract_y
_atom_site_fract_z
Sm1 0.044 0.294 0.750
Sm2 0.437 0.187 0.250
Sm3 0.563 0.813 0.750
Sm4 0.956 0.706 0.250
Er1 0.134 0.884 0.250
Er2 0.230 0.980 0.250
Er3 0.770 0.020 0.750
Er4 0.866 0.116 0.750
Sc1 0.324 0.574 0.750
Sc2 0.676 0.426 0.250
# Size of the total moment in Bohr magnetons per cell: 0.00
# Calculated density in Mg/m³: 7.288
# Space group: Imma
# Volume in Å³/atom: 31.00



Run x
# Sm2Er2Sc (PBE-GGA, optimized geometry)
data_Sm2Er2Sc
_space_group_name_H-M_alt 'P 1'
_space_group_IT_number 1
_space_group_name_Hall 'P 1'
_cell_length_a 6.145
_cell_length_b 6.145
_cell_length_c 6.145
_cell_angle_alpha 132.99
_cell_angle_beta 102.14
_cell_angle_gamma 96.19
loop_
_atom_site_label
_atom_site_fract_x
_atom_site_fract_y
_atom_site_fract_z
Sm1 0.207 0.000 0.207
Sm2 0.793 0.000 0.793
Er1 0.208 0.708 0.500
Er2 0.792 0.292 0.500
Sc1 0.500 0.500 0.000
# Size of the total moment in Bohr magnetons per cell: 0.00
# Calculated density in Mg/m³: 7.271
# Space group: Immm
# Volume in Å³/atom: 31.07



Stability verdict: run w, ahead by 2.9 kJ/mol of atoms



Run w
# Sm3Er4Sc (PBE-GGA, optimized geometry)
data_Sm3Er4Sc
_space_group_name_H-M_alt 'P 1'
_space_group_IT_number 1
_space_group_name_Hall 'P 1'
_cell_length_a 8.735
_cell_length_b 8.735
_cell_length_c 8.735
_cell_angle_alpha 157.14
_cell_angle_beta 97.65
_cell_angle_gamma 86.88
loop_
_atom_site_label
_atom_site_fract_x
_atom_site_fract_y
_atom_site_fract_z
Sm1 0.000 0.000 0.000
Sm2 0.260 0.760 0.500
Sm3 0.740 0.240 0.500
Er1 0.124 0.366 0.758
Er2 0.391 0.634 0.758
Er3 0.609 0.366 0.242
Er4 0.876 0.634 0.242
Sc1 0.500 0.500 0.000
# Size of the total moment in Bohr magnetons per cell: 0.00
# Calculated density in Mg/m³: 7.659
# Space group: Immm
# Volume in Å³/atom: 31.57



Run x
# Sm3Er4Sc (PBE-GGA, optimized geometry)
data_Sm3Er4Sc
_space_group_name_H-M_alt 'P 1'
_space_group_IT_number 1
_space_group_name_Hall 'P 1'
_cell_length_a 11.197
_cell_length_b 7.206
_cell_length_c 6.207
_cell_angle_alpha 90.00
_cell_angle_beta 90.00
_cell_angle_gamma 90.00
loop_
_atom_site_label
_atom_site_fract_x
_atom_site_fract_y
_atom_site_fract_z
Sm1 0.000 0.126 0.000
Sm2 0.250 0.124 0.332
Sm3 0.250 0.876 0.832
Sm4 0.500 0.874 0.500
Sm5 0.750 0.124 0.332
Sm6 0.750 0.876 0.832
Er1 0.000 0.376 0.503
Er2 0.000 0.623 0.999
Er3 0.245 0.625 0.336
Er4 0.255 0.375 0.836
Er5 0.500 0.377 0.499
Er6 0.500 0.624 0.003
Er7 0.745 0.375 0.836
Er8 0.755 0.625 0.336
Sc1 0.000 0.871 0.498
Sc2 0.500 0.129 0.998
# Size of the total moment in Bohr magnetons per cell: 0.00
# Calculated density in Mg/m³: 7.725
# Space group: Pmn2_1
# Volume in Å³/atom: 31.30



Stability verdict: run x, ahead by 10.6 kJ/mol of atoms



Run w
# Sm6Er12Sc (PBE-GGA, optimized geometry)
data_Sm6Er12Sc
_space_group_name_H-M_alt 'P 1'
_space_group_IT_number 1
_space_group_name_Hall 'P 1'
_cell_length_a 8.482
_cell_length_b 8.482
_cell_length_c 8.482
_cell_angle_alpha 91.81
_cell_angle_beta 91.81
_cell_angle_gamma 91.81
loop_
_atom_site_label
_atom_site_fract_x
_atom_site_fract_y
_atom_site_fract_z
Sm1 0.225 0.380 0.765
Sm2 0.235 0.775 0.620
Sm3 0.380 0.765 0.225
Sm4 0.620 0.235 0.775
Sm5 0.765 0.225 0.380
Sm6 0.775 0.620 0.235
Er1 0.028 0.964 0.289
Er2 0.036 0.711 0.972
Er3 0.131 0.447 0.354
Er4 0.289 0.028 0.964
Er5 0.354 0.131 0.447
Er6 0.447 0.354 0.131
Er7 0.553 0.646 0.869
Er8 0.646 0.869 0.553
Er9 0.711 0.972 0.036
Er10 0.869 0.553 0.646
Er11 0.964 0.289 0.028
Er12 0.972 0.036 0.711
Sc1 0.500 0.500 0.500
# Size of the total moment in Bohr magnetons per cell: 0.00
# Calculated density in Mg/m³: 8.050
# Space group: R-3
# Volume in Å³/atom: 32.07



Run x
# Sm6Er12Sc (PBE-GGA, optimized geometry)
data_Sm6Er12Sc
_space_group_name_H-M_alt 'P 1'
_space_group_IT_number 1
_space_group_name_Hall 'P 1'
_cell_length_a 9.811
_cell_length_b 9.811
_cell_length_c 9.811
_cell_angle_alpha 112.50
_cell_angle_beta 112.50
_cell_angle_gamma 112.50
loop_
_atom_site_label
_atom_site_fract_x
_atom_site_fract_y
_atom_site_fract_z
Sm1 0.140 0.825 0.825
Sm2 0.175 0.175 0.860
Sm3 0.175 0.860 0.175
Sm4 0.825 0.140 0.825
Sm5 0.825 0.825 0.140
Sm6 0.860 0.175 0.175
Er1 0.000 0.386 0.614
Er2 0.000 0.614 0.386
Er3 0.267 0.267 0.581
Er4 0.267 0.581 0.267
Er5 0.386 0.000 0.614
Er6 0.386 0.614 0.000
Er7 0.419 0.733 0.733
Er8 0.581 0.267 0.267
Er9 0.614 0.000 0.386
Er10 0.614 0.386 0.000
Er11 0.733 0.419 0.733
Er12 0.733 0.733 0.419
Sc1 0.500 0.500 0.500
# Size of the total moment in Bohr magnetons per cell: 0.00
# Calculated density in Mg/m³: 7.757
# Space group: R-3m
# Volume in Å³/atom: 33.28



Stability verdict: run w, ahead by 17.6 kJ/mol of atoms